DFT (GGA-PBE) results for Hf2W2C after structural relaxation.

```
Hf2W2C
1.0
5.695 0.000 0.000
0.000 5.695 0.000
0.000 0.000 5.206
Hf W C
4 4 2
Cartesian
0.959 1.888 0.000 Hf
1.888 4.736 0.000 Hf
3.807 0.959 0.000 Hf
4.736 3.807 0.000 Hf
0.951 3.799 2.603 W
1.897 0.951 2.603 W
3.799 4.744 2.603 W
4.744 1.897 2.603 W
0.000 0.000 2.603 C
2.848 2.848 2.603 C
```

Calculated values
Energy relative to the elements: 157 kJ/mol of formula units
Calculated volume: 169 Å³ per cell
E above lowest polymorph: 0.000 eV per atom


DFT (GGA-PBE) results for Cr2AgP after structural relaxation.

```
Cr2AgP
1.0
0.000 3.100 3.100
3.100 0.000 3.100
3.100 3.100 0.000
Cr Ag P
2 1 1
Cartesian
0.000 0.000 0.000 Cr
1.550 1.550 1.550 Cr
3.100 3.100 3.100 Ag
4.649 4.649 4.649 P
```

Calculated values
Energy relative to the elements: 160 kJ/mol of formula units
Calculated volume: 60 Å³ per cell


DFT (GGA-PBE) results for Fe4GeH2 after structural relaxation.

```
Fe4GeH2
1.0
1.458 -4.581 0.000
1.458 4.581 0.000
0.000 0.000 9.874
Fe Ge H
8 2 4
Cartesian
0.000 0.000 0.000 Fe
0.000 0.000 4.937 Fe
1.458 2.066 5.911 Fe
1.458 2.066 8.899 Fe
1.458 1.009 2.468 Fe
1.458 -1.009 7.405 Fe
1.458 -2.066 0.974 Fe
1.458 -2.066 3.963 Fe
1.458 3.698 2.468 Ge
1.458 -3.698 7.405 Ge
1.458 1.255 0.627 H
1.458 1.255 4.310 H
1.458 -1.255 5.564 H
1.458 -1.255 9.246 H
```

Calculated values
Calculated volume: 132 Å³ per cell
Total energy: -6.407 eV/atom


DFT (GGA-PBE) results for ThCoSi2Ir2 after structural relaxation.

```
ThCoSi2Ir2
1.0
4.324 0.000 0.000
0.000 4.324 0.000
0.000 0.000 5.433
Th Co Si Ir
1 1 2 2
Cartesian
0.000 0.000 0.000 Th
0.000 0.000 2.717 Co
0.000 2.162 2.717 Si
2.162 0.000 2.717 Si
2.162 2.162 1.313 Ir
2.162 2.162 4.120 Ir
```

Calculated values
Calculated volume: 102 Å³ per cell
E_form (uncorrected): -0.50 eV per atom


DFT (GGA-PBE) results for NiHg3C after structural relaxation.

```
NiHg3C
1.0
5.020 0.000 0.000
0.000 5.020 0.000
0.000 0.000 5.020
Ni Hg C
1 3 1
Cartesian
0.000 0.000 0.000 Ni
0.000 0.000 2.510 Hg
0.000 2.510 0.000 Hg
2.510 0.000 0.000 Hg
2.510 2.510 2.510 C
```

Calculated values
Energy relative to the elements: 724 kJ/mol of formula units
Calculated volume: 126 Å³ per cell
E above lowest polymorph: 0.164 eV per atom


DFT (GGA-PBE) results for Dy3HgRh4 after structural relaxation.

```
Dy3HgRh4
1.0
4.714 0.000 0.000
0.000 4.714 0.000
0.000 0.000 6.898
Dy Hg Rh
3 1 4
Cartesian
0.000 0.000 0.000 Dy
0.000 0.000 3.449 Dy
2.357 2.357 0.000 Dy
2.357 2.357 3.449 Hg
0.000 2.357 1.683 Rh
0.000 2.357 5.215 Rh
2.357 0.000 1.683 Rh
2.357 0.000 5.215 Rh
```

Calculated values
Energy relative to the elements: -540 kJ/mol of formula units
Calculated volume: 153 Å³ per cell


DFT (GGA-PBE) results for Li3AuCl after structural relaxation.

```
Li3AuCl
1.0
4.932 0.000 0.000
0.000 4.932 0.000
0.000 0.000 4.932
Li Au Cl
3 1 1
Cartesian
0.000 0.000 2.466 Li
0.000 2.466 0.000 Li
2.466 0.000 0.000 Li
0.000 0.000 0.000 Au
2.466 2.466 2.466 Cl
```

Calculated values
Calculated volume: 120 Å³ per cell
E_form (uncorrected): -0.48 eV per atom
E above lowest polymorph: 0.238 eV per atom


DFT (GGA-PBE) results for KSe2Cl after structural relaxation.

```
KSe2Cl
1.0
0.000 3.701 3.701
3.701 0.000 3.701
3.701 3.701 0.000
K Se Cl
1 2 1
Cartesian
0.000 0.000 0.000 K
1.851 1.851 1.851 Se
3.701 3.701 3.701 Se
5.552 5.552 5.552 Cl
```

Calculated values
Calculated volume: 101 Å³ per cell
E_form (uncorrected): -0.18 eV per atom
E above lowest polymorph: 0.622 eV per atom


DFT (GGA-PBE) results for AsOs after structural relaxation.

```
AsOs
1.0
0.000 2.751 2.751
2.751 0.000 2.751
2.751 2.751 0.000
As Os
1 1
Cartesian
0.000 0.000 0.000 As
4.126 4.126 4.126 Os
```

Calculated values
Energy relative to the elements: 103 kJ/mol of formula units
Calculated volume: 42 Å³ per cell


DFT (GGA-PBE) results for SrCd11Pd after structural relaxation.

```
SrCd11Pd
1.0
2.853 -7.244 0.000
2.853 7.244 0.000
-2.831 0.000 7.200
Sr Cd Pd
1 11 1
Cartesian
0.000 0.000 0.000 Sr
-1.416 0.000 3.600 Cd
1.427 3.622 0.000 Cd
0.077 2.475 2.598 Cd
0.068 1.520 5.631 Cd
0.077 -2.475 2.598 Cd
2.807 1.520 1.570 Cd
1.427 -3.622 0.000 Cd
0.068 -1.520 5.631 Cd
2.798 2.475 4.603 Cd
2.807 -1.520 1.570 Cd
2.798 -2.475 4.603 Cd
1.438 0.000 3.600 Pd
```

Calculated values
Energy relative to the elements: -228 kJ/mol of formula units
Calculated volume: 298 Å³ per cell


DFT (GGA-PBE) results for TeAsAu2 after structural relaxation.

```
TeAsAu2
1.0
3.888 0.000 0.000
0.000 3.888 0.000
0.000 0.000 5.681
Te As Au
1 1 2
Cartesian
0.000 0.000 0.000 Te
0.000 0.000 2.840 As
1.944 1.944 1.461 Au
1.944 1.944 4.220 Au
```

Calculated values
Calculated volume: 86 Å³ per cell
E_form (uncorrected): 0.28 eV per atom
E above lowest polymorph: 0.269 eV per atom


DFT (GGA-PBE) results for BaSnSe2O8 after structural relaxation.

```
BaSnSe2O8
1.0
5.468 0.000 0.000
-2.734 4.736 0.000
0.000 0.000 7.671
Ba Sn Se O
1 1 2 8
Cartesian
0.000 0.000 0.000 Ba
0.000 0.000 3.835 Sn
0.000 3.157 5.414 Se
2.734 1.579 2.257 Se
-0.676 1.444 5.189 O
-1.146 4.599 5.189 O
0.912 1.307 2.481 O
0.000 3.157 7.083 O
2.734 1.579 0.587 O
1.822 3.429 5.189 O
3.880 0.136 2.481 O
3.410 3.292 2.481 O
```

Calculated values
Calculated volume: 199 Å³ per cell
E_form (uncorrected): -1.19 eV per atom


Which value of calculated volume does entry 10 give?
298 Å³ per cell


Please write out number 4 again, unchanged.
DFT (GGA-PBE) results for ThCoSi2Ir2 after structural relaxation.

```
ThCoSi2Ir2
1.0
4.324 0.000 0.000
0.000 4.324 0.000
0.000 0.000 5.433
Th Co Si Ir
1 1 2 2
Cartesian
0.000 0.000 0.000 Th
0.000 0.000 2.717 Co
0.000 2.162 2.717 Si
2.162 0.000 2.717 Si
2.162 2.162 1.313 Ir
2.162 2.162 4.120 Ir
```

Calculated values
Calculated volume: 102 Å³ per cell
E_form (uncorrected): -0.50 eV per atom


Please write out number 9 again, unchanged.
DFT (GGA-PBE) results for AsOs after structural relaxation.

```
AsOs
1.0
0.000 2.751 2.751
2.751 0.000 2.751
2.751 2.751 0.000
As Os
1 1
Cartesian
0.000 0.000 0.000 As
4.126 4.126 4.126 Os
```

Calculated values
Energy relative to the elements: 103 kJ/mol of formula units
Calculated volume: 42 Å³ per cell